--- P ---
{"formula": "MnRePb2O6", "functional": "PBE+U", "state": "relaxed", "total_magnetization_mub_per_cell": 8.0, "cell": [[5.775, 0.000, 0.000], [0.000, 8.092, 0.000], [0.000, 0.000, 5.952]], "species": ["Mn", "Mn", "Re", "Re", "Pb", "Pb", "Pb", "Pb", "O", "O", "O", "O", "O", "O", "O", "O", "O", "O", "O", "O"], "fractional_positions": [[0.250, 0.250, 0.228], [0.750, 0.750, 0.772], [0.250, 0.750, 0.235], [0.750, 0.250, 0.765], [0.250, 0.019, 0.693], [0.250, 0.481, 0.693], [0.750, 0.519, 0.307], [0.750, 0.981, 0.307], [0.001, 0.750, 0.476], [0.013, 0.750, 0.022], [0.250, 0.513, 0.277], [0.250, 0.987, 0.277], [0.487, 0.750, 0.022], [0.499, 0.750, 0.476], [0.501, 0.250, 0.524], [0.513, 0.250, 0.978], [0.750, 0.013, 0.723], [0.750, 0.487, 0.723], [0.987, 0.250, 0.978], [0.999, 0.250, 0.524]]}

--- Q ---
{"formula": "MnRePb2O6", "functional": "PBE+U", "state": "relaxed", "total_magnetization_mub_per_cell": 4.0, "cell": [[0.000, 4.081, 4.081], [4.081, 0.000, 4.081], [4.081, 4.081, 0.000]], "species": ["Mn", "Re", "Pb", "Pb", "O", "O", "O", "O", "O", "O"], "fractional_positions": [[0.000, 0.000, 0.000], [0.500, 0.500, 0.500], [0.250, 0.250, 0.250], [0.750, 0.750, 0.750], [0.264, 0.264, 0.736], [0.264, 0.736, 0.264], [0.264, 0.736, 0.736], [0.736, 0.264, 0.264], [0.736, 0.264, 0.736], [0.736, 0.736, 0.264]]}

--- R ---
{"formula": "MnRePb2O6", "functional": "PBE+U", "state": "relaxed", "total_magnetization_mub_per_cell": 7.4, "cell": [[-3.629, 3.753, 5.310], [3.629, -3.753, 5.310], [3.629, 3.753, -5.310]], "species": ["Mn", "Mn", "Re", "Re", "Pb", "Pb", "Pb", "Pb", "O", "O", "O", "O", "O", "O", "O", "O", "O", "O", "O", "O"], "fractional_positions": [[0.500, 0.000, 0.000], [0.500, 0.500, 0.500], [0.000, 0.000, 0.000], [0.500, 0.000, 0.500], [0.000, 0.000, 0.500], [0.000, 0.500, 0.000], [0.000, 0.500, 0.500], [0.500, 0.500, 0.000], [0.162, 0.310, 0.226], [0.162, 0.936, 0.852], [0.201, 0.951, 0.250], [0.416, 0.064, 0.726], [0.416, 0.690, 0.352], [0.425, 0.675, 0.750], [0.575, 0.325, 0.250], [0.584, 0.310, 0.648], [0.584, 0.936, 0.274], [0.799, 0.049, 0.750], [0.838, 0.064, 0.148], [0.838, 0.690, 0.774]]}

So which one is most stable? That would be P, about 0.013 eV/atom below the next structure.

--- P ---
{"formula": "MnVPbO5", "functional": "PBE+U", "state": "relaxed", "total_magnetization_mub_per_cell": 8.0, "cell": [[3.285, -4.393, 0.000], [3.285, 4.393, 0.000], [-2.537, 0.000, 8.675]], "species": ["Mn", "Mn", "V", "V", "Pb", "Pb", "O", "O", "O", "O", "O", "O", "O", "O", "O", "O"], "fractional_positions": [[0.167, 0.833, 0.750], [0.833, 0.167, 0.250], [0.189, 0.811, 0.250], [0.811, 0.189, 0.750], [0.500, 0.500, 0.000], [0.500, 0.500, 0.500], [0.036, 0.170, 0.900], [0.127, 0.488, 0.284], [0.170, 0.036, 0.400], [0.372, 0.628, 0.750], [0.488, 0.127, 0.784], [0.512, 0.873, 0.216], [0.628, 0.372, 0.250], [0.830, 0.964, 0.600], [0.873, 0.512, 0.716], [0.964, 0.830, 0.100]]}

--- Q ---
{"formula": "MnVPbO5", "functional": "PBE+U", "state": "relaxed", "total_magnetization_mub_per_cell": 16.0, "cell": [[7.852, 0.000, 0.000], [0.000, 5.943, 0.000], [0.000, 0.000, 9.660]], "species": ["Mn", "Mn", "Mn", "Mn", "V", "V", "V", "V", "Pb", "Pb", "Pb", "Pb", "O", "O", "O", "O", "O", "O", "O", "O", "O", "O", "O", "O", "O", "O", "O", "O", "O", "O", "O", "O"], "fractional_positions": [[0.000, 0.000, 0.000], [0.000, 0.500, 0.000], [0.500, 0.000, 0.500], [0.500, 0.500, 0.500], [0.176, 0.250, 0.293], [0.324, 0.750, 0.793], [0.676, 0.250, 0.207], [0.824, 0.750, 0.707], [0.080, 0.250, 0.673], [0.420, 0.750, 0.173], [0.580, 0.250, 0.827], [0.920, 0.750, 0.327], [0.000, 0.250, 0.393], [0.000, 0.750, 0.607], [0.116, 0.250, 0.919], [0.145, 0.750, 0.911], [0.165, 0.005, 0.191], [0.165, 0.495, 0.191], [0.335, 0.505, 0.691], [0.335, 0.995, 0.691], [0.355, 0.250, 0.411], [0.384, 0.750, 0.419], [0.500, 0.250, 0.107], [0.500, 0.750, 0.893], [0.616, 0.250, 0.581], [0.645, 0.750, 0.589], [0.665, 0.005, 0.309], [0.665, 0.495, 0.309], [0.835, 0.505, 0.809], [0.835, 0.995, 0.809], [0.855, 0.250, 0.089], [0.884, 0.750, 0.081]]}

So which one is most stable? That would be Q, about 0.218 eV/atom below the next structure.

--- P ---
{"formula": "MnV2Pb2O8", "functional": "PBE+U", "state": "relaxed", "total_magnetization_mub_per_cell": 10.0, "cell": [[7.599, 0.000, 0.000], [0.000, 6.380, 0.000], [-2.244, 0.000, 8.443]], "species": ["Mn", "Mn", "V", "V", "V", "V", "Pb", "Pb", "Pb", "Pb", "O", "O", "O", "O", "O", "O", "O", "O", "O", "O", "O", "O", "O", "O", "O", "O"], "fractional_positions": [[0.162, 0.000, 0.028], [0.838, 0.500, 0.972], [0.067, 0.288, 0.325], [0.492, 0.816, 0.849], [0.508, 0.316, 0.151], [0.933, 0.788, 0.675], [0.216, 0.318, 0.729], [0.353, 0.718, 0.455], [0.647, 0.218, 0.545], [0.784, 0.818, 0.271], [0.002, 0.009, 0.795], [0.065, 0.051, 0.219], [0.066, 0.747, 0.546], [0.285, 0.294, 0.026], [0.286, 0.345, 0.446], [0.344, 0.806, 0.967], [0.449, 0.036, 0.725], [0.454, 0.596, 0.721], [0.546, 0.096, 0.279], [0.551, 0.536, 0.275], [0.656, 0.306, 0.033], [0.714, 0.845, 0.554], [0.715, 0.794, 0.974], [0.934, 0.247, 0.454], [0.935, 0.551, 0.781], [0.998, 0.509, 0.205]]}

--- Q ---
{"formula": "MnV2Pb2O8", "functional": "PBE+U", "state": "relaxed", "total_magnetization_mub_per_cell": 10.0, "cell": [[7.483, 0.000, 0.000], [0.000, 6.631, 0.000], [-3.527, 0.000, 8.448]], "species": ["Mn", "Mn", "V", "V", "V", "V", "Pb", "Pb", "Pb", "Pb", "O", "O", "O", "O", "O", "O", "O", "O", "O", "O", "O", "O", "O", "O", "O", "O"], "fractional_positions": [[0.000, 0.000, 0.000], [0.000, 0.500, 0.000], [0.048, 0.250, 0.334], [0.447, 0.250, 0.150], [0.553, 0.750, 0.850], [0.952, 0.750, 0.666], [0.265, 0.250, 0.738], [0.350, 0.750, 0.479], [0.650, 0.250, 0.521], [0.735, 0.750, 0.262], [0.010, 0.527, 0.781], [0.010, 0.973, 0.781], [0.068, 0.750, 0.536], [0.188, 0.250, 0.046], [0.291, 0.250, 0.460], [0.455, 0.750, 0.988], [0.474, 0.543, 0.719], [0.474, 0.957, 0.719], [0.526, 0.043, 0.281], [0.526, 0.457, 0.281], [0.545, 0.250, 0.012], [0.709, 0.750, 0.540], [0.812, 0.750, 0.954], [0.932, 0.250, 0.464], [0.990, 0.027, 0.219], [0.990, 0.473, 0.219]]}

So which one is most stable? That would be P, about 0.030 eV/atom below the next structure.

--- P ---
{"formula": "Mn2PdO4", "functional": "PBE+U", "state": "relaxed", "total_magnetization_mub_per_cell": 12.0, "cell": [[4.360, -4.337, 0.000], [4.360, 4.337, 0.000], [-4.356, 0.000, 4.426]], "species": ["Mn", "Mn", "Mn", "Mn", "Pd", "Pd", "O", "O", "O", "O", "O", "O", "O", "O"], "fractional_positions": [[0.000, 0.000, 0.000], [0.000, 0.000, 0.500], [0.000, 0.500, 0.000], [0.500, 0.000, 0.500], [0.375, 0.625, 0.750], [0.625, 0.375, 0.250], [0.201, 0.233, 0.966], [0.233, 0.201, 0.466], [0.233, 0.766, 0.033], [0.234, 0.767, 0.467], [0.766, 0.233, 0.533], [0.767, 0.234, 0.967], [0.767, 0.799, 0.534], [0.799, 0.767, 0.034]]}

--- Q ---
{"formula": "Mn2PdO4", "functional": "PBE+U", "state": "relaxed", "total_magnetization_mub_per_cell": 6.0, "cell": [[-2.815, 2.815, 2.797], [2.815, -2.815, 2.797], [2.815, 2.815, -2.797]], "species": ["Mn", "Mn", "Pd", "O", "O", "O", "O"], "fractional_positions": [[0.000, 0.500, 0.500], [0.500, 0.000, 0.500], [0.000, 0.000, 0.000], [0.082, 0.918, 0.500], [0.418, 0.582, 0.500], [0.582, 0.082, 0.164], [0.918, 0.418, 0.836]]}

So which one is most stable? That would be P, about 0.444 eV/atom below the next structure.

--- P ---
{"formula": "MnPd3O", "functional": "PBE+U", "state": "relaxed", "total_magnetization_mub_per_cell": 0.8, "cell": [[4.552, 0.000, 0.000], [0.000, 4.552, 0.000], [0.000, 0.000, 4.552]], "species": ["Mn", "Pd", "Pd", "Pd", "O"], "fractional_positions": [[0.000, 0.000, 0.000], [0.000, 0.000, 0.500], [0.000, 0.500, 0.000], [0.500, 0.000, 0.000], [0.500, 0.500, 0.500]]}

--- Q ---
{"formula": "MnPd3O", "functional": "PBE+U", "state": "relaxed", "total_magnetization_mub_per_cell": 5.0, "cell": [[4.234, 0.000, 0.000], [0.000, 4.234, 0.000], [0.000, 0.000, 4.234]], "species": ["Mn", "Pd", "Pd", "Pd", "O"], "fractional_positions": [[0.000, 0.000, 0.000], [0.000, 0.500, 0.500], [0.500, 0.000, 0.500], [0.500, 0.500, 0.000], [0.500, 0.500, 0.500]]}

So which one is most stable? That would be Q, about 2.083 eV/atom below the next structure.

--- P ---
{"formula": "Pm3MnO6", "functional": "PBE+U", "state": "relaxed", "total_magnetization_mub_per_cell": 4.0, "cell": [[5.633, 0.000, 0.000], [0.000, 5.886, 0.000], [-5.275, 0.000, 8.310]], "species": ["Pm", "Pm", "Pm", "Pm", "Pm", "Pm", "Mn", "Mn", "O", "O", "O", "O", "O", "O", "O", "O", "O", "O", "O", "O"], "fractional_positions": [[0.000, 0.000, 0.000], [0.000, 0.500, 0.500], [0.279, 0.059, 0.753], [0.279, 0.441, 0.253], [0.721, 0.559, 0.747], [0.721, 0.941, 0.247], [0.500, 0.000, 0.500], [0.500, 0.500, 0.000], [0.136, 0.057, 0.269], [0.136, 0.443, 0.769], [0.287, 0.685, 0.067], [0.287, 0.815, 0.567], [0.394, 0.215, 0.073], [0.394, 0.285, 0.573], [0.606, 0.715, 0.427], [0.606, 0.785, 0.927], [0.713, 0.185, 0.433], [0.713, 0.315, 0.933], [0.864, 0.557, 0.231], [0.864, 0.943, 0.731]]}

--- Q ---
{"formula": "Pm3MnO6", "functional": "PBE+U", "state": "relaxed", "total_magnetization_mub_per_cell": 8.0, "cell": [[4.648, -5.704, 0.000], [4.648, 5.704, 0.000], [0.000, 0.000, 5.634]], "species": ["Pm", "Pm", "Pm", "Pm", "Pm", "Pm", "Mn", "Mn", "O", "O", "O", "O", "O", "O", "O", "O", "O", "O", "O", "O"], "fractional_positions": [[0.104, 0.896, 0.500], [0.190, 0.412, 0.453], [0.412, 0.190, 0.953], [0.588, 0.810, 0.453], [0.810, 0.588, 0.953], [0.896, 0.104, 0.000], [0.328, 0.672, 0.926], [0.672, 0.328, 0.426], [0.090, 0.598, 0.755], [0.145, 0.171, 0.725], [0.171, 0.145, 0.225], [0.282, 0.718, 0.254], [0.402, 0.910, 0.755], [0.460, 0.540, 0.722], [0.540, 0.460, 0.222], [0.598, 0.090, 0.255], [0.718, 0.282, 0.754], [0.829, 0.855, 0.725], [0.855, 0.829, 0.225], [0.910, 0.402, 0.255]]}

So which one is most stable? That would be Q, about 0.158 eV/atom below the next structure.

--- P ---
{"formula": "Pm2MnO6", "functional": "PBE+U", "state": "relaxed", "total_magnetization_mub_per_cell": 2.0, "cell": [[5.382, 0.000, 0.000], [0.000, 6.232, 0.000], [-4.412, 0.000, 7.173]], "species": ["Pm", "Pm", "Pm", "Pm", "Mn", "Mn", "O", "O", "O", "O", "O", "O", "O", "O", "O", "O", "O", "O"], "fractional_positions": [[0.205, 0.104, 0.252], [0.205, 0.396, 0.752], [0.795, 0.604, 0.248], [0.795, 0.896, 0.748], [0.500, 0.000, 0.000], [0.500, 0.500, 0.500], [0.153, 0.145, 0.950], [0.153, 0.355, 0.450], [0.305, 0.726, 0.939], [0.305, 0.774, 0.439], [0.383, 0.040, 0.748], [0.383, 0.460, 0.248], [0.617, 0.540, 0.752], [0.617, 0.960, 0.252], [0.695, 0.226, 0.561], [0.695, 0.274, 0.061], [0.847, 0.645, 0.550], [0.847, 0.855, 0.050]]}

--- Q ---
{"formula": "Pm2MnO6", "functional": "PBE+U", "state": "relaxed", "total_magnetization_mub_per_cell": 3.0, "cell": [[-2.071, 2.684, 5.270], [2.071, -2.684, 5.270], [2.071, 2.684, -5.270]], "species": ["Pm", "Pm", "Mn", "O", "O", "O", "O", "O", "O"], "fractional_positions": [[0.178, 0.178, 0.000], [0.822, 0.822, 0.000], [0.500, 0.500, 0.000], [0.107, 0.354, 0.753], [0.367, 0.000, 0.367], [0.399, 0.646, 0.753], [0.601, 0.354, 0.247], [0.633, 0.000, 0.633], [0.893, 0.646, 0.247]]}

So which one is most stable? That would be P, about 0.107 eV/atom below the next structure.

--- P ---
{"formula": "PrMn2O4", "functional": "PBE+U", "state": "relaxed", "total_magnetization_mub_per_cell": 36.0, "cell": [[10.470, 0.000, 0.000], [0.000, 3.332, 0.000], [0.000, 0.000, 10.175]], "species": ["Pr", "Pr", "Pr", "Pr", "Mn", "Mn", "Mn", "Mn", "Mn", "Mn", "Mn", "Mn", "O", "O", "O", "O", "O", "O", "O", "O", "O", "O", "O", "O", "O", "O", "O", "O"], "fractional_positions": [[0.141, 0.189, 0.000], [0.359, 0.189, 0.500], [0.641, 0.811, 0.000], [0.859, 0.811, 0.500], [0.119, 0.679, 0.314], [0.119, 0.717, 0.682], [0.381, 0.679, 0.814], [0.381, 0.717, 0.182], [0.619, 0.283, 0.682], [0.619, 0.321, 0.314], [0.881, 0.283, 0.182], [0.881, 0.321, 0.814], [0.022, 0.675, 0.133], [0.041, 0.715, 0.855], [0.193, 0.698, 0.505], [0.248, 0.143, 0.742], [0.252, 0.143, 0.242], [0.307, 0.698, 0.005], [0.459, 0.715, 0.355], [0.478, 0.675, 0.633], [0.522, 0.325, 0.133], [0.541, 0.285, 0.855], [0.693, 0.302, 0.505], [0.748, 0.857, 0.742], [0.752, 0.857, 0.242], [0.807, 0.302, 0.005], [0.959, 0.285, 0.355], [0.978, 0.325, 0.633]]}

--- Q ---
{"formula": "PrMn2O4", "functional": "PBE+U", "state": "relaxed", "total_magnetization_mub_per_cell": 18.0, "cell": [[-3.592, 3.592, 3.561], [3.592, -3.592, 3.561], [3.592, 3.592, -3.561]], "species": ["Pr", "Pr", "Mn", "Mn", "Mn", "Mn", "O", "O", "O", "O", "O", "O", "O", "O"], "fractional_positions": [[0.375, 0.625, 0.750], [0.625, 0.375, 0.250], [0.000, 0.000, 0.000], [0.000, 0.000, 0.500], [0.000, 0.500, 0.000], [0.500, 0.000, 0.500], [0.159, 0.721, 0.438], [0.217, 0.279, 0.938], [0.279, 0.217, 0.438], [0.279, 0.841, 0.062], [0.721, 0.159, 0.938], [0.721, 0.783, 0.562], [0.783, 0.721, 0.062], [0.841, 0.279, 0.562]]}

So which one is most stable? That would be P, about 0.070 eV/atom below the next structure.